Entry from the Alexandria database: a relaxed CaDyCr2O8 crystal (PBE+U).

Values from the calculation:
Electronic total energy   -7.25 eV per atom

```
12
Lattice="-3.6225 3.6225 3.1561 3.6225 -3.6225 3.1561 3.6225 3.6225 -3.1561" Properties=species:S:1:pos:R:3 pbc="T T T"
Ca 0.0000 0.0000 0.0000
Dy 0.0000 3.6225 1.5781
Cr 3.6225 0.0000 1.5781
Cr 0.0000 0.0000 3.1561
O 2.3282 0.0000 0.5357
O 4.9167 0.0000 0.5357
O 3.6225 2.2497 -1.0514
O 3.6225 -1.2943 2.6204
O 0.0000 1.3728 2.1048
O 3.6225 1.2943 2.6204
O 2.2497 3.6225 1.0514
O 1.3728 0.0000 4.2075
```